A plane-wave DFT calculation with PBE was carried out for a geometry-optimized CeErZnRu structure.

Cell and atoms, written as POSCAR:
```
CeErZnRu
1.0
4.9311 0.0000 0.0000
2.4656 4.2705 0.0000
2.4656 1.4235 4.0263
Er Ru Ce Zn
1 1 1 1
Cartesian
4.9311 2.8470 2.0131
2.4656 1.4235 1.0066
0.0000 0.0000 0.0000
7.3967 4.2705 3.0197
```

Values from the calculation:
crystal system	cubic
N(E_F)	3.6	states/eV/cell
space group	F-43m
volume	21.20	A^3/atom
formation enthalpy at 0 K	-31.0	kJ per mole of atoms